(1)
Computed, not measured: a geometry-optimized RbCu3Br structure at the PBE-GGA level of DFT.

abc: 5.1161 5.1161 5.1161
angles: 90.00 90.00 90.00
Last column: nearest neighbours and their distance in Å.
Positions (direct):
Rb1 0.0000 0.0000 0.0000  12 Cu 3.62
Cu1 0.0000 0.5000 0.5000  2 Br 2.56
Cu2 0.5000 0.0000 0.5000  2 Br 2.56
Cu3 0.5000 0.5000 0.0000  2 Br 2.56
Br1 0.5000 0.5000 0.5000  6 Cu 2.56

E_form (uncorrected) = 0.775 eV per atom
Space group = Pm-3m, No. 221
ρ = 4415 kg/m3

=====

(2)
Computed, not measured: a geometry-optimized RbCuBr3 structure at the PBE-GGA level of DFT.

abc: 4.1608 9.2723 8.7534
angles: 90.00 90.33 90.00
Last column: nearest neighbours and their distance in Å.
Positions (direct):
Rb1 0.0009 0.2500 0.0732  9 Br 3.58-3.74
Rb2 0.9991 0.7500 0.9268  9 Br 3.58-3.74
Cu1 0.4938 0.2500 0.6421  4 Br 2.41-2.43
Cu2 0.5062 0.7500 0.3579  4 Br 2.41-2.43
Br1 0.0075 0.7500 0.5000  2 Cu 2.42-2.43
Br2 0.4972 0.0443 0.8110  1 Cu 2.41
Br3 0.4972 0.4557 0.8110  1 Cu 2.41
Br4 0.5028 0.5443 0.1890  1 Cu 2.41
Br5 0.5028 0.9557 0.1890  1 Cu 2.41
Br6 0.9925 0.2500 0.5000  2 Cu 2.42-2.43

E_form (uncorrected) = -0.816 eV per atom
Space group = P2_1/m, No. 11
ρ = 3823 kg/m3

=====

(3)
Computed, not measured: a geometry-optimized Rb3CuBr6 structure at the PBE-GGA level of DFT.

abc: 8.1390 8.1390 8.1390
angles: 60.00 60.00 60.00
Last column: nearest neighbours and their distance in Å.
Positions (direct):
Rb1 0.0000 0.0000 0.0000  6 Br 3.22
Rb2 0.2500 0.2500 0.2500  12 Br 4.08
Rb3 0.7500 0.7500 0.7500  12 Br 4.08
Cu1 0.5000 0.5000 0.5000  6 Br 2.53
Br1 0.2801 0.2801 0.7199  1 Cu 2.53
Br2 0.2801 0.7199 0.2801  1 Cu 2.53
Br3 0.2801 0.7199 0.7199  1 Cu 2.53
Br4 0.7199 0.2801 0.2801  1 Cu 2.53
Br5 0.7199 0.2801 0.7199  1 Cu 2.53
Br6 0.7199 0.7199 0.2801  1 Cu 2.53

E_form (uncorrected) = -1.028 eV per atom
Space group = Fm-3m, No. 225
ρ = 3482 kg/m3

=====

| no. | electronic total energy (eV per atom) | calculated volume (Å³ per atom) |
| --- | --- | --- |
| 1 | -2.2104 | 26.78 |
| 2 | -2.8323 | 33.77 |
| 3 | -2.7315 | 38.12 |